Record 1
TbHo2Pd | PBE | relaxed

Lattice parameters (Å, degrees): 3.5672 3.5672 8.3957 90.00 90.00 90.00
Last column: nearest neighbours and their distance in Å.
Fractional positions:
Tb: 0.5000 0.5000 0.5000  4 Tb 3.57, 8 Ho 3.58
Ho: 0.0000 0.0000 0.8020  4 Pd 3.02, 1 Ho 3.32
Ho: 0.0000 0.0000 0.1980  4 Pd 3.02, 1 Ho 3.32
Pd: 0.5000 0.5000 0.0000  8 Ho 3.02

Results
SG   P4/mmm
Energy   -5.16 eV per atom
Energy of formation   -420 meV/atom


Record 2
VCu6Pd12 | PBE | relaxed

Lattice parameters (Å, degrees): 6.5284 6.5284 6.5284 89.86 89.86 89.86
Last column: nearest neighbours and their distance in Å.
Fractional positions:
V: 0.0000 0.0000 0.0000  6 Pd 2.57, 6 Cu 2.58
Cu: 0.7320 0.8865 0.2682  1 V 2.58, 8 Pd 2.61-2.85, 2 Cu 2.69
Cu: 0.7318 0.2680 0.1135  1 V 2.58, 8 Pd 2.61-2.85, 2 Cu 2.69
Cu: 0.1135 0.7318 0.2680  1 V 2.58, 8 Pd 2.61-2.85, 2 Cu 2.69
Cu: 0.2680 0.1135 0.7318  1 V 2.58, 8 Pd 2.61-2.85, 2 Cu 2.69
Cu: 0.2682 0.7320 0.8865  1 V 2.58, 8 Pd 2.61-2.85, 2 Cu 2.69
Cu: 0.8865 0.2682 0.7320  1 V 2.58, 8 Pd 2.61-2.85, 2 Cu 2.69
Pd: 0.8022 0.5314 0.4393  4 Cu 2.61-2.78, 5 Pd 2.70-2.92
Pd: 0.4393 0.8022 0.5314  4 Cu 2.61-2.78, 5 Pd 2.70-2.92
Pd: 0.5314 0.4393 0.8022  4 Cu 2.61-2.78, 5 Pd 2.70-2.92
Pd: 0.1978 0.4686 0.5607  4 Cu 2.61-2.78, 5 Pd 2.70-2.92
Pd: 0.5607 0.1978 0.4686  4 Cu 2.61-2.78, 5 Pd 2.70-2.92
Pd: 0.4686 0.5607 0.1978  4 Cu 2.61-2.78, 5 Pd 2.70-2.92
Pd: 0.0213 0.1483 0.3629  1 V 2.57, 4 Cu 2.61-2.85, 4 Pd 2.65-2.76
Pd: 0.8517 0.6371 0.9787  1 V 2.57, 4 Cu 2.61-2.85, 4 Pd 2.65-2.76
Pd: 0.6371 0.9787 0.8517  1 V 2.57, 4 Cu 2.61-2.85, 4 Pd 2.65-2.76
Pd: 0.9787 0.8517 0.6371  1 V 2.57, 4 Cu 2.61-2.85, 4 Pd 2.65-2.76
Pd: 0.1483 0.3629 0.0213  1 V 2.57, 4 Cu 2.61-2.85, 4 Pd 2.65-2.76
Pd: 0.3629 0.0213 0.1483  1 V 2.57, 4 Cu 2.61-2.85, 4 Pd 2.65-2.76

Results
SG   R-3
Energy   -5.09 eV per atom
Energy of formation   -41 meV/atom


Record 3
HgOsPb2O8 | PBE | relaxed

Lattice parameters (Å, degrees): 4.9869 4.9416 7.2951 90.00 90.00 93.32
Last column: nearest neighbours and their distance in Å.
Fractional positions:
Hg: 0.0000 0.0000 0.5000  2 O 2.08
Os: 0.0000 0.0000 0.0000  6 O 1.87-1.92
Pb: 0.5000 0.5000 0.7521  6 O 2.27-2.37
Pb: 0.5000 0.5000 0.2479  6 O 2.27-2.37
O: 0.1696 0.8127 0.1860  1 Os 1.87
O: 0.7089 0.7280 0.0000  1 Os 1.92
O: 0.8304 0.1873 0.1860  1 Os 1.87
O: 0.8304 0.1873 0.8140  1 Os 1.87
O: 0.2911 0.2720 0.0000  1 Os 1.92
O: 0.1696 0.8127 0.8140  1 Os 1.87
O: 0.6914 0.6982 0.5000  1 Hg 2.08, 2 Pb 2.27
O: 0.3086 0.3018 0.5000  1 Hg 2.08, 2 Pb 2.27

Results
SG   P2/m
Energy   -5.65 eV per atom


Record 4
DyY2RuN4 | PBE | relaxed

Lattice parameters (Å, degrees): 3.3822 6.0220 11.6751 90.00 90.00 106.31
Last column: nearest neighbours and their distance in Å.
Fractional positions:
Dy: 0.1306 0.2612 0.7500  6 N 2.48-2.67
Dy: 0.8694 0.7388 0.2500  6 N 2.48-2.67
Y: 0.3687 0.7373 0.5423  5 N 2.33-2.54
Y: 0.6313 0.2627 0.0423  5 N 2.33-2.54
Y: 0.6313 0.2627 0.4577  5 N 2.33-2.54
Y: 0.3687 0.7373 0.9577  5 N 2.33-2.54
Ru: 0.8652 0.7304 0.7500  4 N 1.96-2.07
Ru: 0.1348 0.2696 0.2500  4 N 1.96-2.07
N: 0.2682 0.5364 0.1315  1 Ru 2.07
N: 0.7318 0.4636 0.6315  1 Ru 2.07
N: 0.7318 0.4636 0.8685  1 Ru 2.07
N: 0.2682 0.5364 0.3685  1 Ru 2.07
N: 0.0000 0.0000 0.5000  4 Y 2.33
N: 0.0000 0.0000 0.0000  4 Y 2.33
N: 0.4515 0.9030 0.7500  2 Ru 1.96
N: 0.5485 0.0970 0.2500  2 Ru 1.96

Results
SG   Cmcm
Energy   -8.52 eV per atom


Record 5
SrMoPt | PBE | relaxed

Lattice parameters (Å, degrees): 5.2882 3.2911 8.3127 78.60 97.64 89.98
Last column: nearest neighbours and their distance in Å.
Fractional positions:
Sr: 0.7766 0.0435 0.8184  6 Pt 3.09-3.37, 2 Sr 3.29
Sr: 0.3651 0.8795 0.1427  6 Pt 3.09-3.37, 2 Sr 3.29
Mo: 0.9049 0.7309 0.4417  2 Mo 2.43, 2 Pt 2.67
Mo: 0.2369 0.1920 0.5195  2 Mo 2.43, 2 Pt 2.67
Pt: 0.2591 0.5627 0.7793  2 Mo 2.67
Pt: 0.8826 0.3602 0.1819  2 Mo 2.67

Results
SG   P-1
Energy   -6.20 eV per atom
Energy of formation   -19 meV/atom


Record 6
DyY6Tm2 | PBE | relaxed

Lattice parameters (Å, degrees): 5.7067 11.8293 11.8293 47.72 103.94 103.94
Last column: nearest neighbours and their distance in Å.
Fractional positions:
Dy: 0.2500 0.2502 0.7498  14 Y 3.50-3.87
Dy: 0.7500 0.7498 0.2502  14 Y 3.50-3.87
Y: 0.7989 0.5021 0.6659  5 Y 3.24-3.56, 1 Tm 3.49, 1 Dy 3.56
Y: 0.7011 0.3341 0.4979  5 Y 3.24-3.56, 1 Tm 3.49, 1 Dy 3.56
Y: 0.2011 0.4979 0.3341  5 Y 3.24-3.56, 1 Tm 3.49, 1 Dy 3.56
Y: 0.2989 0.6659 0.5021  5 Y 3.24-3.56, 1 Tm 3.49, 1 Dy 3.56
Y: 0.9174 0.9179 0.4171  5 Y 3.44-3.63, 1 Dy 3.50, 6 Tm 3.56-3.85
Y: 0.5826 0.5829 0.0821  5 Y 3.44-3.63, 1 Dy 3.50, 6 Tm 3.56-3.85
Y: 0.0826 0.0821 0.5829  5 Y 3.44-3.63, 1 Dy 3.50, 6 Tm 3.56-3.85
Y: 0.4174 0.4171 0.9179  5 Y 3.44-3.63, 1 Dy 3.50, 6 Tm 3.56-3.85
Y: 0.1316 0.8341 0.9982  6 Y 3.24-3.63, 1 Tm 3.49, 1 Dy 3.56
Y: 0.3684 0.0018 0.1659  6 Y 3.24-3.63, 1 Tm 3.49, 1 Dy 3.56
Y: 0.8684 0.1659 0.0018  6 Y 3.24-3.63, 1 Tm 3.49, 1 Dy 3.56
Y: 0.6316 0.9982 0.8341  6 Y 3.24-3.63, 1 Tm 3.49, 1 Dy 3.56
Tm: 0.0328 0.6679 0.8320  3 Tm 3.24-3.26, 6 Y 3.49-3.62
Tm: 0.4672 0.1680 0.3321  3 Tm 3.24-3.26, 6 Y 3.49-3.62
Tm: 0.9672 0.3321 0.1680  3 Tm 3.24-3.26, 6 Y 3.49-3.62
Tm: 0.5328 0.8320 0.6679  3 Tm 3.24-3.26, 6 Y 3.49-3.62

Results
SG   C2/c
Energy   -5.75 eV per atom
Energy of formation   69 meV/atom